A.
Here is YCuAu3 after structural relaxation from Alexandria. Energies are from GGA-PBE.

CIF file:
```
data_YCuAu3
_cell_length_a 4.8009
_cell_length_b 4.8009
_cell_length_c 4.8009
_cell_angle_alpha 90.00
_cell_angle_beta 90.00
_cell_angle_gamma 90.00
_symmetry_space_group_name_H-M 'P 1'
_symmetry_Int_Tables_number 1
loop_
_symmetry_equiv_pos_as_xyz
'x,y,z'
loop_
_atom_site_label
_atom_site_fract_x
_atom_site_fract_y
_atom_site_fract_z
Au1 0.5000 0.0000 0.0000
Au2 0.0000 0.0000 0.5000
Au3 0.0000 0.5000 0.0000
Y1 0.5000 0.5000 0.5000
Cu1 0.0000 0.0000 0.0000
```

***

B.
Here is YCuAu3 after structural relaxation from Alexandria. Energies are from GGA-PBE.

CIF file:
```
data_YCuAu3
_cell_length_a 5.4421
_cell_length_b 5.4421
_cell_length_c 5.4421
_cell_angle_alpha 90.00
_cell_angle_beta 90.00
_cell_angle_gamma 90.00
_symmetry_space_group_name_H-M 'P 1'
_symmetry_Int_Tables_number 1
loop_
_symmetry_equiv_pos_as_xyz
'x,y,z'
loop_
_atom_site_label
_atom_site_fract_x
_atom_site_fract_y
_atom_site_fract_z
Au1 0.0000 0.0000 0.5000
Au2 0.0000 0.5000 0.0000
Au3 0.5000 0.0000 0.0000
Cu1 0.5000 0.5000 0.5000
Y1 0.0000 0.0000 0.0000
```

***

Stability ranking, top and bottom: A is the most stable and B is the least stable.

***

A.
Here is YCu3Au after structural relaxation from Alexandria. Energies are from GGA-PBE.

CIF file:
```
data_YCu3Au
_cell_length_a 5.0338
_cell_length_b 5.0338
_cell_length_c 5.0338
_cell_angle_alpha 90.00
_cell_angle_beta 90.00
_cell_angle_gamma 90.00
_symmetry_space_group_name_H-M 'P 1'
_symmetry_Int_Tables_number 1
loop_
_symmetry_equiv_pos_as_xyz
'x,y,z'
loop_
_atom_site_label
_atom_site_fract_x
_atom_site_fract_y
_atom_site_fract_z
Cu1 0.0000 0.5000 0.0000
Cu2 0.5000 0.0000 0.0000
Au1 0.5000 0.5000 0.5000
Cu3 0.0000 0.0000 0.5000
Y1 0.0000 0.0000 0.0000
```

***

B.
Here is YCu3Au after structural relaxation from Alexandria. Energies are from GGA-PBE.

CIF file:
```
data_YCu3Au
_cell_length_a 4.7469
_cell_length_b 4.7469
_cell_length_c 4.7469
_cell_angle_alpha 90.00
_cell_angle_beta 90.00
_cell_angle_gamma 90.00
_symmetry_space_group_name_H-M 'P 1'
_symmetry_Int_Tables_number 1
loop_
_symmetry_equiv_pos_as_xyz
'x,y,z'
loop_
_atom_site_label
_atom_site_fract_x
_atom_site_fract_y
_atom_site_fract_z
Cu1 0.0000 0.0000 0.5000
Cu2 0.0000 0.5000 0.0000
Au1 0.0000 0.0000 0.0000
Y1 0.5000 0.5000 0.5000
Cu3 0.5000 0.0000 0.0000
```

***

Stability ranking, top and bottom: B is the most stable and A is the least stable.

***

A.
Here is ZnCuAu6 after structural relaxation from Alexandria. Energies are from GGA-PBE.

CIF file:
```
data_ZnCuAu6
_cell_length_a 4.7450
_cell_length_b 4.7450
_cell_length_c 7.5353
_cell_angle_alpha 74.97
_cell_angle_beta 74.97
_cell_angle_gamma 70.60
_symmetry_space_group_name_H-M 'P 1'
_symmetry_Int_Tables_number 1
loop_
_symmetry_equiv_pos_as_xyz
'x,y,z'
loop_
_atom_site_label
_atom_site_fract_x
_atom_site_fract_y
_atom_site_fract_z
Au1 0.3501 0.3501 0.9392
Au2 0.5632 0.0652 0.3039
Au3 0.6499 0.6499 0.0608
Au4 0.4368 0.9348 0.6961
Cu1 0.0000 0.0000 0.0000
Au5 0.9348 0.4368 0.6961
Au6 0.0652 0.5632 0.3039
Zn1 0.5000 0.5000 0.5000
```

***

B.
Here is ZnCuAu6 after structural relaxation from Alexandria. Energies are from GGA-PBE.

CIF file:
```
data_ZnCuAu6
_cell_length_a 3.8599
_cell_length_b 5.9416
_cell_length_c 5.9416
_cell_angle_alpha 90.03
_cell_angle_beta 90.00
_cell_angle_gamma 90.00
_symmetry_space_group_name_H-M 'P 1'
_symmetry_Int_Tables_number 1
loop_
_symmetry_equiv_pos_as_xyz
'x,y,z'
loop_
_atom_site_label
_atom_site_fract_x
_atom_site_fract_y
_atom_site_fract_z
Au1 0.5000 0.5000 0.0000
Zn1 0.5000 0.0000 0.0000
Cu1 0.5000 0.5000 0.5000
Au2 0.0000 0.2510 0.2510
Au3 0.0000 0.2525 0.7475
Au4 0.0000 0.7475 0.2525
Au5 0.5000 0.0000 0.5000
Au6 0.0000 0.7490 0.7490
```

***

Stability ranking, top and bottom: B is the most stable and A is the least stable.

***

A.
Here is Zn5CuAu3 after structural relaxation from Alexandria. Energies are from GGA-PBE.

CIF file:
```
data_Zn5CuAu3
_cell_length_a 5.8867
_cell_length_b 5.8867
_cell_length_c 10.0380
_cell_angle_alpha 86.04
_cell_angle_beta 86.04
_cell_angle_gamma 82.21
_symmetry_space_group_name_H-M 'P 1'
_symmetry_Int_Tables_number 1
loop_
_symmetry_equiv_pos_as_xyz
'x,y,z'
loop_
_atom_site_label
_atom_site_fract_x
_atom_site_fract_y
_atom_site_fract_z
Zn1 0.4557 0.4557 0.3233
Zn2 0.9958 0.6197 0.6569
Au1 0.7275 0.7275 0.8737
Zn3 0.7291 0.7291 0.1455
Zn4 0.3279 0.6721 0.0000
Au2 0.0000 0.0000 0.5000
Zn5 0.3803 0.0042 0.3431
Zn6 0.2709 0.2709 0.8545
Zn7 0.5443 0.5443 0.6767
Au3 0.2915 0.2915 0.5769
Zn8 0.0042 0.3803 0.3431
Cu1 0.0234 0.0234 0.7486
Zn9 0.6197 0.9958 0.6569
Au4 0.0000 0.0000 0.0000
Cu2 0.9766 0.9766 0.2514
Zn10 0.6721 0.3279 0.0000
Au5 0.2725 0.2725 0.1263
Au6 0.7085 0.7085 0.4231
```

***

B.
Here is Zn5CuAu3 after structural relaxation from Alexandria. Energies are from GGA-PBE.

CIF file:
```
data_Zn5CuAu3
_cell_length_a 5.2946
_cell_length_b 7.9483
_cell_length_c 8.6858
_cell_angle_alpha 117.23
_cell_angle_beta 107.75
_cell_angle_gamma 90.00
_symmetry_space_group_name_H-M 'P 1'
_symmetry_Int_Tables_number 1
loop_
_symmetry_equiv_pos_as_xyz
'x,y,z'
loop_
_atom_site_label
_atom_site_fract_x
_atom_site_fract_y
_atom_site_fract_z
Zn1 0.0686 0.5855 0.6865
Zn2 0.3822 0.8990 0.3135
Zn3 0.5000 0.5000 0.0000
Zn4 0.1178 0.0855 0.6865
Au1 0.0511 0.3301 0.0000
Au2 0.2500 0.2500 0.5000
Cu1 0.2500 0.7500 0.5000
Au3 0.4489 0.8301 0.0000
Au4 0.7500 0.7500 0.5000
Au5 0.5511 0.1699 0.0000
Zn5 0.9314 0.4145 0.3135
Zn6 0.0000 0.0000 0.0000
Cu2 0.7500 0.2500 0.5000
Zn7 0.5686 0.6010 0.6865
Au6 0.9489 0.6699 0.0000
Zn8 0.4314 0.3990 0.3135
Zn9 0.6178 0.1010 0.6865
Zn10 0.8822 0.9145 0.3135
```

***

Stability ranking, top and bottom: B is the most stable and A is the least stable.

***

A.
Here is Zn2Cu8Au after structural relaxation from Alexandria. Energies are from GGA-PBE.

CIF file:
```
data_Zn2Cu8Au
_cell_length_a 5.1183
_cell_length_b 6.6721
_cell_length_c 6.6723
_cell_angle_alpha 43.07
_cell_angle_beta 73.41
_cell_angle_gamma 73.41
_symmetry_space_group_name_H-M 'P 1'
_symmetry_Int_Tables_number 1
loop_
_symmetry_equiv_pos_as_xyz
'x,y,z'
loop_
_atom_site_label
_atom_site_fract_x
_atom_site_fract_y
_atom_site_fract_z
Cu1 0.6084 0.2189 0.2189
Cu2 0.3361 0.8474 0.3472
Cu3 0.6639 0.1526 0.6528
Cu4 0.2320 0.4323 0.4323
Cu5 0.3916 0.7811 0.7811
Zn1 0.9294 0.7314 0.7315
Cu6 0.3362 0.3472 0.8474
Zn2 0.0706 0.2686 0.2685
Cu7 0.6638 0.6528 0.1526
Au1 0.0000 0.0000 0.0000
Cu8 0.7680 0.5677 0.5677
```

***

B.
Here is Zn2Cu8Au after structural relaxation from Alexandria. Energies are from GGA-PBE.

CIF file:
```
data_Zn2Cu8Au
_cell_length_a 4.5027
_cell_length_b 6.8900
_cell_length_c 6.7517
_cell_angle_alpha 59.32
_cell_angle_beta 73.59
_cell_angle_gamma 56.39
_symmetry_space_group_name_H-M 'P 1'
_symmetry_Int_Tables_number 1
loop_
_symmetry_equiv_pos_as_xyz
'x,y,z'
loop_
_atom_site_label
_atom_site_fract_x
_atom_site_fract_y
_atom_site_fract_z
Cu1 0.1372 0.6730 0.2323
Cu2 0.8628 0.0947 0.2323
Cu3 0.5000 0.7792 0.4417
Zn1 0.0000 0.6906 0.6188
Cu4 0.3093 0.4286 0.0000
Au1 0.5000 0.0000 0.0000
Cu5 0.1372 0.9053 0.7677
Zn2 0.0000 0.3094 0.3812
Cu6 0.6907 0.5714 0.0000
Cu7 0.8628 0.3270 0.7677
Cu8 0.5000 0.2208 0.5583
```

***

Stability ranking, top and bottom: A is the most stable and B is the least stable.

***

A.
Here is Zn2Cu4Au5 after structural relaxation from Alexandria. Energies are from GGA-PBE.

CIF file:
```
data_Zn2Cu4Au5
_cell_length_a 2.9375
_cell_length_b 7.1207
_cell_length_c 16.3870
_cell_angle_alpha 90.00
_cell_angle_beta 90.00
_cell_angle_gamma 90.00
_symmetry_space_group_name_H-M 'P 1'
_symmetry_Int_Tables_number 1
loop_
_symmetry_equiv_pos_as_xyz
'x,y,z'
loop_
_atom_site_label
_atom_site_fract_x
_atom_site_fract_y
_atom_site_fract_z
Au1 0.0000 0.3075 0.1954
Au2 0.0000 0.0000 0.5000
Cu1 0.5000 0.1022 0.3565
Cu2 0.5000 0.7100 0.4359
Zn1 0.5000 0.9894 0.1966
Zn2 0.5000 0.4894 0.3034
Cu3 0.5000 0.2900 0.5641
Cu4 0.5000 0.8978 0.6435
Au3 0.0000 0.6925 0.8046
Au4 0.0000 0.8733 0.0704
Cu5 0.5000 0.6022 0.1435
Cu6 0.5000 0.2100 0.0641
Zn3 0.5000 0.0106 0.8034
Au5 0.0000 0.1267 0.9296
Au6 0.0000 0.3733 0.4296
Cu7 0.5000 0.3978 0.8565
Au7 0.0000 0.8075 0.3046
Zn4 0.5000 0.5106 0.6966
Au8 0.0000 0.1925 0.6954
Cu8 0.5000 0.7900 0.9359
Au9 0.0000 0.6267 0.5704
Au10 0.0000 0.5000 0.0000
```

***

B.
Here is Zn2Cu4Au5 after structural relaxation from Alexandria. Energies are from GGA-PBE.

CIF file:
```
data_Zn2Cu4Au5
_cell_length_a 2.8324
_cell_length_b 6.7127
_cell_length_c 9.3373
_cell_angle_alpha 95.90
_cell_angle_beta 98.72
_cell_angle_gamma 90.00
_symmetry_space_group_name_H-M 'P 1'
_symmetry_Int_Tables_number 1
loop_
_symmetry_equiv_pos_as_xyz
'x,y,z'
loop_
_atom_site_label
_atom_site_fract_x
_atom_site_fract_y
_atom_site_fract_z
Au1 0.8355 0.0505 0.6710
Cu1 0.0459 0.6714 0.0918
Zn1 0.2759 0.7134 0.5517
Au2 0.0945 0.3096 0.1890
Cu2 0.3396 0.3886 0.6793
Au3 0.1645 0.9495 0.3290
Au4 0.5000 0.0000 0.0000
Cu3 0.6604 0.6114 0.3207
Au5 0.9055 0.6904 0.8110
Cu4 0.9541 0.3286 0.9082
Zn2 0.7241 0.2866 0.4483
```

***

Stability ranking, top and bottom: A is the most stable and B is the least stable.